Entry 1:
KSe2S2 (GGA-PBE, relaxed); ΔE_f (raw) = -114 kJ/mol of formula units; crystal system = tetragonal; polymorph energy (0 for the lowest one) = 35 meV/atom; raw total energy = -3.5010 eV/atom; SG = No. 127
1.0
8.806 0.000 0.000
0.000 8.806 0.000
0.000 0.000 3.929
K Se S
2 4 4
direct
0.000 0.000 0.000
0.500 0.500 0.000
0.225 0.275 0.500
0.275 0.775 0.500
0.725 0.225 0.500
0.775 0.725 0.500
0.176 0.676 0.000
0.324 0.176 0.000
0.676 0.824 0.000
0.824 0.324 0.000



Entry 2:
Ba2SnHg4Pb2 (GGA-PBE, relaxed); crystal system = tetragonal; raw total energy = -2.1669 eV/atom; SG = No. 139; energy of formation = -0.34 eV per atom
1.0
-3.740 3.740 5.282
3.740 -3.740 5.282
3.740 3.740 -5.282
Ba Sn Hg Pb
2 1 4 2
direct
0.250 0.750 0.500
0.750 0.250 0.500
0.000 0.000 0.000
0.280 0.280 0.559
0.280 0.720 0.000
0.720 0.280 0.000
0.720 0.720 0.441
0.299 0.299 0.000
0.701 0.701 0.000



Entry 3:
ZrIn2Se (GGA-PBE, relaxed); ΔE_f (raw) = -109 kJ/mol of formula units; crystal system = tetragonal; raw total energy = -4.6589 eV/atom; SG = No. 139
1.0
-2.053 2.053 5.339
2.053 -2.053 5.339
2.053 2.053 -5.339
Zr In Se
1 2 1
direct
0.000 0.000 0.000
0.250 0.750 0.500
0.750 0.250 0.500
0.500 0.500 0.000